No. 1
# Be3Os (GGA-PBE, optimized geometry)
data_Be3Os
_chemical_formula_sum 'Be6 Os2'
_space_group_name_H-M_alt 'P m m n'
_space_group_IT_number 59
_cell_length_a 3.757
_cell_length_b 4.532
_cell_length_c 4.407
_cell_angle_alpha 90.00
_cell_angle_beta 90.00
_cell_angle_gamma 90.00
loop_
_space_group_symop_operation_xyz
'x,y,z'
'-x,-y,-z'
'-x+1/2,-y+1/2,z'
'x+1/2,y+1/2,-z'
'x+1/2,-y,-z'
'-x+1/2,y,z'
'-x,y+1/2,-z'
'x,-y+1/2,z'
loop_
_atom_site_label
_atom_site_type_symbol
_atom_site_fract_x
_atom_site_fract_y
_atom_site_fract_z
Be1 Be 0.250 0.005 0.142
Be2 Be 0.250 0.750 0.703
Os1 Os 0.250 0.250 0.623
# - ΔH_f (0 K) (kcal/mol of atoms) = -7.525
# - DFT total energy (eV per atom) = -5.93


No. 2
# Nd4Y4Tm (GGA-PBE, optimized geometry)
data_Nd4Y4Tm
_chemical_formula_sum 'Nd8 Y8 Tm2'
_space_group_name_H-M_alt 'I 4/m m m'
_space_group_IT_number 139
_space_group_name_Hall '-I 4 2'
_cell_length_a 10.840
_cell_length_b 10.840
_cell_length_c 5.108
_cell_angle_alpha 90.00
_cell_angle_beta 90.00
_cell_angle_gamma 90.00
loop_
_atom_site_label
_atom_site_type_symbol
_atom_site_fract_x
_atom_site_fract_y
_atom_site_fract_z
Nd1 Nd 0.000 0.332 0.000
Y1 Y 0.165 0.165 0.500
Tm1 Tm 0.000 0.000 0.000
# - ΔH_f (0 K) (kcal/mol of atoms) = 0.495
# - DFT total energy (eV per atom) = -5.47
# - energy relative to the lowest polymorph listed for this composition (meV per atom) = 4.2


No. 3
# Dy4MgZn5 (GGA-PBE, optimized geometry)
data_Dy4MgZn5
_chemical_formula_sum 'Dy4 Mg1 Zn5'
_space_group_name_H-M_alt 'P 4/m m m'
_space_group_IT_number 123
_space_group_name_Hall '-P 4 2'
_cell_length_a 3.532
_cell_length_b 3.532
_cell_length_c 17.472
_cell_angle_alpha 90.00
_cell_angle_beta 90.00
_cell_angle_gamma 90.00
loop_
_atom_site_label
_atom_site_type_symbol
_atom_site_fract_x
_atom_site_fract_y
_atom_site_fract_z
Dy1 Dy 0.000 0.000 0.103
Dy2 Dy 0.000 0.000 0.307
Mg1 Mg 0.000 0.000 0.500
Zn1 Zn 0.500 0.500 0.000
Zn2 Zn 0.500 0.500 0.205
Zn3 Zn 0.500 0.500 0.413
# - ΔH_f (0 K) (kcal/mol of atoms) = -6.814
# - DFT total energy (eV per atom) = -2.93


No. 4
# Tc3SnN (GGA-PBE, optimized geometry)
data_Tc3SnN
_chemical_formula_sum 'Tc18 Sn6 N6'
_space_group_name_H-M_alt 'R -3'
_space_group_IT_number 148
_space_group_name_Hall '-R 3'
_cell_length_a 5.6488
_cell_length_b 5.6488
_cell_length_c 15.5636
_cell_angle_alpha 90.00
_cell_angle_beta 90.00
_cell_angle_gamma 120.00
loop_
_atom_site_label
_atom_site_type_symbol
_atom_site_fract_x
_atom_site_fract_y
_atom_site_fract_z
Tc1 Tc 0.0099 0.5100 0.0884
Sn1 Sn 0.0000 0.0000 0.0993
N1 N 0.0000 0.0000 0.3271
# - ΔE_f (raw) (eV per atom) = 0.1410
# - DFT total energy (eV per atom) = -8.54
# - energy relative to the lowest polymorph listed for this composition (meV per atom) = 98.4


No. 5
# Mg5In2Sn (GGA-PBE, optimized geometry)
data_Mg5In2Sn
_chemical_formula_sum 'Mg10 In4 Sn2'
_space_group_name_H-M_alt 'I m m 2'
_space_group_IT_number 44
_space_group_name_Hall 'I 2 -2'
_cell_length_a 6.591
_cell_length_b 8.800
_cell_length_c 6.372
_cell_angle_alpha 90.00
_cell_angle_beta 90.00
_cell_angle_gamma 90.00
loop_
_atom_site_label
_atom_site_type_symbol
_atom_site_fract_x
_atom_site_fract_y
_atom_site_fract_z
Mg1 Mg 0.000 0.000 0.000
Mg2 Mg 0.250 0.250 0.250
In1 In 0.000 0.500 0.002
In2 In 0.000 0.500 0.501
Sn1 Sn 0.000 0.000 0.501
# - ΔH_f (0 K) (kcal/mol of atoms) = -2.388
# - DFT total energy (eV per atom) = -2.29
# - energy relative to the lowest polymorph listed for this composition (meV per atom) = 0.0


No. 6
# Re2SiPt (GGA-PBE, optimized geometry)
data_Re2SiPt
_chemical_formula_sum 'Re2 Si1 Pt1'
_space_group_name_H-M_alt 'P 1 2/m 1'
_space_group_IT_number 10
_space_group_name_Hall '-P 2y'
_cell_length_a 2.796
_cell_length_b 4.047
_cell_length_c 5.299
_cell_angle_alpha 90.00
_cell_angle_beta 102.85
_cell_angle_gamma 90.00
loop_
_atom_site_label
_atom_site_type_symbol
_atom_site_fract_x
_atom_site_fract_y
_atom_site_fract_z
Re1 Re 0.126 0.000 0.272
Si1 Si 0.500 0.500 0.500
Pt1 Pt 0.500 0.500 0.000
# - ΔE_f (raw) (eV per atom) = -0.0022
# - DFT total energy (eV per atom) = -9.09


No. 7
# K2Cd6GaAu (GGA-PBE, optimized geometry)
data_K2Cd6GaAu
_chemical_formula_sum 'K2 Cd6 Ga1 Au1'
_space_group_name_H-M_alt 'P -1'
_space_group_IT_number 2
_space_group_name_Hall '-P 1'
_cell_length_a 7.291
_cell_length_b 7.383
_cell_length_c 7.411
_cell_angle_alpha 60.87
_cell_angle_beta 61.00
_cell_angle_gamma 60.65
loop_
_atom_site_label
_atom_site_type_symbol
_atom_site_fract_x
_atom_site_fract_y
_atom_site_fract_z
K1 K 0.189 0.189 0.433
Cd1 Cd 0.164 0.330 0.874
Cd2 Cd 0.328 0.632 0.874
Cd3 Cd 0.368 0.833 0.128
Ga1 Ga 0.000 0.000 0.000
Au1 Au 0.500 0.500 0.500
# - ΔH_f (0 K) (kcal/mol of atoms) = -2.073
# - DFT total energy (eV per atom) = -1.49


No. 8
# BeSb2AuI (GGA-PBE, optimized geometry)
data_BeSb2AuI
_chemical_formula_sum 'Be1 Sb2 Au1 I1'
_space_group_name_H-M_alt 'P 4/m m m'
_space_group_IT_number 123
_space_group_name_Hall '-P 4 2'
_cell_length_a 5.849
_cell_length_b 5.849
_cell_length_c 5.277
_cell_angle_alpha 90.00
_cell_angle_beta 90.00
_cell_angle_gamma 90.00
loop_
_atom_site_label
_atom_site_type_symbol
_atom_site_fract_x
_atom_site_fract_y
_atom_site_fract_z
Be1 Be 0.000 0.000 0.000
Sb1 Sb 0.000 0.500 0.500
Au1 Au 0.500 0.500 0.000
I1 I 0.500 0.500 0.500
# - ΔE_f (raw) (eV per atom) = 1.5138
# - DFT total energy (eV per atom) = -1.85
# - energy relative to the lowest polymorph listed for this composition (meV per atom) = 903.9